1.
# BeIr2Br | the Alexandria database | PBEsol | relaxed
data_BeIr2Br
_cell_length_a 6.042
_cell_length_b 6.042
_cell_length_c 6.042
_cell_angle_alpha 90.00
_cell_angle_beta 90.00
_cell_angle_gamma 90.00
_symmetry_space_group_name_H-M 'F m -3 m'
_symmetry_Int_Tables_number 225
_symmetry_space_group_name_Hall '-F 4 2 3'
loop_
_atom_site_label
_atom_site_type_symbol
_atom_site_fract_x
_atom_site_fract_y
_atom_site_fract_z
_atom_site_occupancy
Be1 Be 0.000 0.000 0.000 1
Ir1 Ir 0.250 0.250 0.250 1
Br1 Br 0.000 0.000 0.500 1
# DOS(E_F)   15.952 states/eV per cell
# Energy above the lowest structure with this stoichiometry   539 meV/atom
# Uncorrected formation energy   0.8387 eV per atom
# E   -5.54 eV per atom

***

2.
# Be2IrBr | the Alexandria database | PBEsol | relaxed
data_Be2IrBr
_cell_length_a 3.193
_cell_length_b 3.193
_cell_length_c 11.233
_cell_angle_alpha 90.00
_cell_angle_beta 90.00
_cell_angle_gamma 90.00
_symmetry_space_group_name_H-M 'I -4 m 2'
_symmetry_Int_Tables_number 119
_symmetry_space_group_name_Hall 'I -4 -2'
loop_
_atom_site_label
_atom_site_type_symbol
_atom_site_fract_x
_atom_site_fract_y
_atom_site_fract_z
_atom_site_occupancy
Be1 Be 0.000 0.000 0.000 1
Be2 Be 0.000 0.500 0.250 1
Ir1 Ir 0.000 0.500 0.750 1
Br1 Br 0.000 0.000 0.500 1
# DOS(E_F)   2.684 states/eV per cell
# Energy above the lowest structure with this stoichiometry   543 meV/atom
# Uncorrected formation energy   0.5781 eV per atom
# E   -4.35 eV per atom

***

3.
# Be2IrBr | the Alexandria database | PBEsol | relaxed
data_Be2IrBr
_cell_length_a 3.085
_cell_length_b 3.085
_cell_length_c 6.391
_cell_angle_alpha 90.00
_cell_angle_beta 90.00
_cell_angle_gamma 90.00
_symmetry_space_group_name_H-M 'P 4 m m'
_symmetry_Int_Tables_number 99
loop_
_symmetry_equiv_pos_as_xyz
'x,y,z'
'-y,x,z'
'-x,-y,z'
'y,-x,z'
'-x,y,z'
'y,x,z'
'x,-y,z'
'-y,-x,z'
loop_
_atom_site_label
_atom_site_type_symbol
_atom_site_fract_x
_atom_site_fract_y
_atom_site_fract_z
_atom_site_occupancy
Be1 Be 0.000 0.000 0.000 1
Be2 Be 0.500 0.500 0.239 1
Ir1 Ir 0.500 0.500 0.911 1
Br1 Br 0.000 0.000 0.422 1
# DOS(E_F)   0.557 states/eV per cell
# Energy above the lowest structure with this stoichiometry   0 meV/atom
# Uncorrected formation energy   0.0356 eV per atom
# E   -4.89 eV per atom